Density functional theory data (PBE) for crystalline Tl4MoOs at its relaxed geometry.

Values from the calculation:
Calculated volume in Å³/f.u.: 151.4
Formation enthalpy at 0 K in meV per atom: 1610

Cell lengths 5.9822, 5.9822, 5.9822 Å; angles 60.00, 60.00, 60.00 degrees
With the nearest neighbours (Å) after each atom.
Atoms (fractional coordinates):
Tl: 0.1253 0.1253 0.1253  6 Tl 2.98-3.00
Tl: 0.1253 0.1253 0.6242  6 Tl 2.98-3.00
Tl: 0.1253 0.6242 0.1253  6 Tl 2.98-3.00
Tl: 0.6242 0.1253 0.1253  6 Tl 2.98-3.00
Mo: 0.7500 0.7500 0.7500  12 Tl 3.51, 4 Os 3.66
Os: 0.5000 0.5000 0.5000  12 Tl 3.51, 4 Mo 3.66

***

Density functional theory data (PBE) for crystalline TlMoOs2 at its relaxed geometry.

Values from the calculation:
Calculated volume in Å³/f.u.: 65.4
Formation enthalpy at 0 K in meV per atom: 746
Energy relative to the lowest polymorph listed for this composition in meV/atom: 195

Cell lengths 4.8794, 4.8794, 4.8794 Å; angles 130.63, 130.63, 72.40 degrees
With the nearest neighbours (Å) after each atom.
Atoms (fractional coordinates):
Tl: 0.0000 0.0000 0.0000  8 Os 2.83, 4 Mo 2.88
Mo: 0.5000 0.5000 0.0000  8 Os 2.83, 4 Tl 2.88
Os: 0.2500 0.7500 0.5000  4 Mo 2.83, 4 Tl 2.83, 4 Os 2.88
Os: 0.7500 0.2500 0.5000  4 Mo 2.83, 4 Tl 2.83, 4 Os 2.88

***

Density functional theory data (PBE) for crystalline TlMoOs2 at its relaxed geometry.

Values from the calculation:
Calculated volume in Å³/f.u.: 66.0
Formation enthalpy at 0 K in meV per atom: 914
Energy relative to the lowest polymorph listed for this composition in meV/atom: 363

Cell lengths 4.1798, 4.1798, 3.7751 Å; angles 90.00, 90.00, 90.00 degrees
With the nearest neighbours (Å) after each atom.
Atoms (fractional coordinates):
Tl: 0.0000 0.0000 0.0000  8 Os 2.82, 4 Mo 2.96
Mo: 0.5000 0.5000 0.0000  8 Os 2.82, 4 Tl 2.96
Os: 0.0000 0.5000 0.5000  4 Mo 2.82, 4 Tl 2.82, 4 Os 2.96
Os: 0.5000 0.0000 0.5000  4 Mo 2.82, 4 Tl 2.82, 4 Os 2.96

***

Density functional theory data (PBE) for crystalline TlMoOs at its relaxed geometry.

Values from the calculation:
Calculated volume in Å³/f.u.: 54.2
Formation enthalpy at 0 K in meV per atom: 769
Energy relative to the lowest polymorph listed for this composition in meV/atom: 288

Cell lengths 7.6180, 7.3645, 2.9019 Å; angles 83.79, 73.96, 22.25 degrees
With the nearest neighbours (Å) after each atom.
Atoms (fractional coordinates):
Tl: 0.0000 0.0000 0.0000  6 Tl 2.90-3.04, 2 Os 2.98, 2 Mo 3.01
Mo: 0.3199 0.3199 0.6801  2 Os 2.55
Os: 0.6775 0.6775 0.3225  2 Mo 2.55

***

Density functional theory data (PBE) for crystalline TlMoOs2 at its relaxed geometry.

Values from the calculation:
Calculated volume in Å³/f.u.: 67.0
Formation enthalpy at 0 K in meV per atom: 551
Energy relative to the lowest polymorph listed for this composition in meV/atom: 0

Cell lengths 2.9122, 2.9122, 7.9013 Å; angles 90.00, 90.00, 90.00 degrees
With the nearest neighbours (Å) after each atom.
Atoms (fractional coordinates):
Tl: 0.0000 0.0000 0.0000  4 Tl 2.91, 8 Os 3.01
Mo: 0.0000 0.0000 0.5000  8 Os 2.70, 4 Mo 2.91
Os: 0.5000 0.5000 0.2783  4 Mo 2.70, 4 Os 2.91, 4 Tl 3.01
Os: 0.5000 0.5000 0.7217  4 Mo 2.70, 4 Os 2.91, 4 Tl 3.01

***

Density functional theory data (PBE) for crystalline TlMoOs2 at its relaxed geometry.

Values from the calculation:
Calculated volume in Å³/f.u.: 65.5
Formation enthalpy at 0 K in meV per atom: 793
Energy relative to the lowest polymorph listed for this composition in meV/atom: 242

Cell lengths 5.1067, 5.1067, 5.1067 Å; angles 135.06, 135.06, 65.43 degrees
With the nearest neighbours (Å) after each atom.
Atoms (fractional coordinates):
Tl: 0.0000 0.0000 0.0000  8 Os 2.76-2.90, 4 Mo 2.90
Mo: 0.2500 0.7500 0.5000  8 Os 2.76-2.90, 4 Tl 2.90
Os: 0.5000 0.5000 0.0000  4 Tl 2.76, 4 Mo 2.90, 4 Os 2.90
Os: 0.7500 0.2500 0.5000  4 Mo 2.76, 4 Tl 2.90, 4 Os 2.90

***

Density functional theory data (PBE) for crystalline Tl2Mo2Os at its relaxed geometry.

Values from the calculation:
Calculated volume in Å³/f.u.: 101.2
Formation enthalpy at 0 K in meV per atom: 840
Energy relative to the lowest polymorph listed for this composition in meV/atom: 0

Cell lengths 6.5116, 6.5116, 4.7725 Å; angles 90.00, 90.00, 90.00 degrees
With the nearest neighbours (Å) after each atom.
Atoms (fractional coordinates):
Tl: 0.1806 0.3194 0.0000  6 Mo 2.93-3.16
Tl: 0.3194 0.8194 0.0000  6 Mo 2.93-3.16
Tl: 0.6806 0.1806 0.0000  6 Mo 2.93-3.16
Tl: 0.8194 0.6806 0.0000  6 Mo 2.93-3.16
Mo: 0.1351 0.6351 0.5000  1 Mo 2.49, 2 Os 2.53
Mo: 0.3649 0.1351 0.5000  1 Mo 2.49, 2 Os 2.53
Mo: 0.6351 0.8649 0.5000  1 Mo 2.49, 2 Os 2.53
Mo: 0.8649 0.3649 0.5000  1 Mo 2.49, 2 Os 2.53
Os: 0.0000 0.0000 0.5000  4 Mo 2.53
Os: 0.5000 0.5000 0.5000  4 Mo 2.53

***

Density functional theory data (PBE) for crystalline TlMoOs2 at its relaxed geometry.

Values from the calculation:
Calculated volume in Å³/f.u.: 66.3
Formation enthalpy at 0 K in meV per atom: 828
Energy relative to the lowest polymorph listed for this composition in meV/atom: 278

Cell lengths 4.5423, 4.5423, 4.5423 Å; angles 60.00, 60.00, 60.00 degrees
With the nearest neighbours (Å) after each atom.
Atoms (fractional coordinates):
Tl: 0.0000 0.0000 0.0000  8 Os 2.78
Mo: 0.5000 0.5000 0.5000  8 Os 2.78
Os: 0.2500 0.2500 0.2500  4 Tl 2.78, 4 Mo 2.78
Os: 0.7500 0.7500 0.7500  4 Tl 2.78, 4 Mo 2.78